The following is a GGA-PBE calculation of a relaxed RbTcPt crystal, from the Alexandria database.

Results
space group = P-6m2 (187)
energy relative to the elements = 0.881 eV per atom
energy above the lowest structure with this stoichiometry = 0.7153 eV per atom
DOS at the Fermi energy = 6.11 states/eV per cell

Cell lengths 4.792, 4.792, 8.168 Å; angles 90.00, 90.00, 120.00 degrees
Element x y z (fractional)
Pt: 0.000 0.000 0.832
Pt: 0.000 0.000 0.168
Tc: 0.333 0.667 0.864
Tc: 0.333 0.667 0.136
Rb: 0.667 0.333 0.000
Rb: 0.667 0.333 0.500